A plane-wave DFT calculation with GGA-PBE was carried out for crystalline LiTa4 at its relaxed geometry.

Geometry as CIF:
```
data_LiTa4
_chemical_formula_sum 'Li1 Ta4'
_symmetry_space_group_name_H-M 'P 1'
_symmetry_Int_Tables_number 1
_symmetry_space_group_name_Hall 'P 1'
_cell_length_a 4.951
_cell_length_b 4.951
_cell_length_c 4.951
_cell_angle_alpha 109.47
_cell_angle_beta 109.47
_cell_angle_gamma 109.47
loop_
_atom_site_label
_atom_site_fract_x
_atom_site_fract_y
_atom_site_fract_z
_atom_site_occupancy
Li1 0.000 0.000 0.000 1
Ta1 0.000 0.000 0.500 1
Ta2 0.000 0.500 0.000 1
Ta3 0.500 0.000 0.000 1
Ta4 0.500 0.500 0.500 1
```

Summary:
Energy: -8.716 eV per atom
Formation enthalpy at 0 K: 1.15 eV per atom
N(E_F): 0.5905 states/eV/atom